HfMgPO | PBE | optimized geometry

crystal system = tetragonal
space group = No. 129
final energy = -0.4977 Ry/atom

Lattice parameters (Å, degrees): 4.2326 4.2326 8.7866 90.00 90.00 90.00
Fractional positions:
Hf  0.2500  0.7500  0.0000
Hf  0.7500  0.2500  0.0000
Mg  0.2500  0.2500  0.4972
Mg  0.7500  0.7500  0.5028
P  0.2500  0.2500  0.1558
P  0.7500  0.7500  0.8442
O  0.2500  0.7500  0.5000
O  0.7500  0.2500  0.5000